Entry 1:
K2UTeSe4: relaxed, PBE.

Properties
- SG = I-4, No. 82
- formation energy without anion corrections (kJ/mol of formula units) = -566.3
- calculated volume (Å³/cell) = 279.92
- magnetization (μB per cell) = 2.000
- raw total energy (eV per atom) = -4.55

Cell lengths 7.138, 7.138, 7.138 Å; angles 109.48, 109.47, 109.47 degrees
Site moments in Bohr magnetons follow the coordinates.
Fractional coordinates of all 8 atoms:
1 K 0.500 0.750 0.250  0.00
2 K 0.000 0.000 0.000  0.00
3 U 0.500 0.250 0.750  2.18
4 Te 0.000 0.500 0.500  0.01
5 Se 0.535 0.261 0.383  -0.05
6 Se 0.122 0.274 0.739  -0.05
7 Se 0.878 0.617 0.152  -0.05
8 Se 0.465 0.848 0.726  -0.05

Entry 2:
K2UTeSe2: relaxed, PBE.

Properties
- SG = P4/mmm, No. 123
- formation energy without anion corrections (kJ/mol of formula units) = -578.8
- calculated volume (Å³/cell) = 202.86
- magnetization (μB per cell) = 2.000
- raw total energy (eV per atom) = -4.93

Cell lengths 5.584, 5.584, 6.505 Å; angles 90.00, 90.00, 90.00 degrees
Site moments in Bohr magnetons follow the coordinates.
Fractional coordinates of all 6 atoms:
1 K 0.500 0.500 0.734  0.00
2 K 0.500 0.500 0.266  0.00
3 U 0.000 0.000 0.000  2.17
4 Te 0.000 0.000 0.500  -0.07
5 Se 0.500 0.000 0.000  -0.07
6 Se 0.000 0.500 0.000  -0.07

Entry 3:
K3U3TeSe8: relaxed, PBE.

Properties
- SG = C2/m, No. 12
- formation energy without anion corrections (kJ/mol of formula units) = -1422.2
- calculated volume (Å³/cell) = 483.36
- magnetization (μB per cell) = 2.860
- raw total energy (eV per atom) = -5.53

Cell lengths 8.705, 8.477, 8.989 Å; angles 116.94, 90.00, 120.89 degrees
Site moments in Bohr magnetons follow the coordinates.
Fractional coordinates of all 15 atoms:
1 K 0.000 0.000 0.000  0.00
2 K 0.000 0.500 0.000  0.00
3 K 0.500 0.500 0.000  0.00
4 U 0.500 0.000 0.500  -2.08
5 U 0.500 0.500 0.500  2.38
6 U 0.000 0.500 0.500  2.38
7 Te 0.000 0.000 0.500  0.03
8 Se 0.262 0.524 0.291  -0.02
9 Se 0.738 0.476 0.709  -0.02
10 Se 0.768 0.537 0.303  -0.04
11 Se 0.232 0.463 0.697  -0.04
12 Se 0.734 0.045 0.283  0.00
13 Se 0.266 0.955 0.717  0.00
14 Se 0.311 0.045 0.283  0.00
15 Se 0.689 0.955 0.717  0.00

Entry 4:
KUTeSe: relaxed, PBE.

Properties
- SG = R3m, No. 160
- formation energy without anion corrections (kJ/mol of formula units) = -394.6
- calculated volume (Å³/cell) = 131.66
- magnetization (μB per cell) = 3.000
- raw total energy (eV per atom) = -5.78

Cell lengths 4.301, 4.301, 8.586 Å; angles 90.00, 104.51, 120.00 degrees
Site moments in Bohr magnetons follow the coordinates.
Fractional coordinates of all 4 atoms:
1 K 0.957 0.377 0.349  0.00
2 U 0.316 0.556 0.887  2.74
3 Te 0.496 0.146 0.657  -0.07
4 Se 0.109 0.953 0.077  -0.05

Entry 5:
K2ZrTe2Se6: relaxed, PBE.

Properties
- SG = C2/m, No. 12
- formation energy without anion corrections (kJ/mol of formula units) = -697.1
- calculated volume (Å³/cell) = 399.29
- magnetization (μB per cell) = 0.000
- raw total energy (eV per atom) = -4.11

Cell lengths 7.608, 8.818, 7.557 Å; angles 116.10, 90.00, 115.56 degrees
Fractional coordinates of all 11 atoms:
1 K 0.724 0.448 0.212
2 K 0.276 0.552 0.788
3 Zr 0.500 0.000 0.500
4 Te 0.982 0.964 0.794
5 Te 0.018 0.036 0.206
6 Se 0.681 0.362 0.606
7 Se 0.150 0.810 0.214
8 Se 0.340 0.190 0.786
9 Se 0.850 0.190 0.786
10 Se 0.660 0.810 0.214
11 Se 0.319 0.638 0.394

Entry 6:
KZrTeSe2: relaxed, PBE.

Properties
- SG = P4/mmm, No. 123
- formation energy without anion corrections (kJ/mol of formula units) = -459.0
- calculated volume (Å³/cell) = 160.63
- magnetization (μB per cell) = 0.000
- raw total energy (eV per atom) = -4.90

Cell lengths 5.297, 5.297, 5.725 Å; angles 90.00, 90.00, 90.00 degrees
Fractional coordinates of all 5 atoms:
1 K 0.500 0.500 0.500
2 Te 0.000 0.000 0.500
3 Se 0.000 0.500 0.000
4 Se 0.500 0.000 0.000
5 Zr 0.000 0.000 0.000

Entry 7:
KThSe3: relaxed, PBE.

Properties
- SG = C2/m, No. 12
- formation energy without anion corrections (kJ/mol of formula units) = -658.7
- distance to the lowest polymorph of the same formula (meV/atom) = 0
- calculated volume (Å³/cell) = 361.80
- magnetization (μB per cell) = 0.000
- raw total energy (eV per atom) = -5.16

Cell lengths 5.825, 8.607, 7.920 Å; angles 103.58, 90.00, 109.78 degrees
Fractional coordinates of all 10 atoms:
1 K 0.637 0.275 0.372
2 K 0.363 0.725 0.628
3 Th 0.855 0.709 0.108
4 Th 0.145 0.291 0.892
5 Se 0.854 0.709 0.448
6 Se 0.330 0.659 0.056
7 Se 0.958 0.916 0.837
8 Se 0.146 0.291 0.552
9 Se 0.042 0.084 0.163
10 Se 0.670 0.341 0.944

Entry 8:
KTh2Se4: relaxed, PBE.

Properties
- SG = Cmcm, No. 63
- formation energy without anion corrections (kJ/mol of formula units) = -1111.1
- calculated volume (Å³/cell) = 441.36
- magnetization (μB per cell) = 0.000
- raw total energy (eV per atom) = -5.91

Cell lengths 4.280, 7.371, 14.621 Å; angles 90.00, 90.00, 106.88 degrees
Fractional coordinates of all 14 atoms:
1 K 0.613 0.225 0.750
2 K 0.387 0.775 0.250
3 Th 0.129 0.258 0.434
4 Th 0.871 0.742 0.934
5 Th 0.129 0.258 0.066
6 Th 0.871 0.742 0.566
7 Se 0.767 0.534 0.110
8 Se 0.767 0.534 0.390
9 Se 0.233 0.466 0.890
10 Se 0.233 0.466 0.610
11 Se 0.935 0.870 0.750
12 Se 0.065 0.130 0.250
13 Se 0.500 0.000 0.000
14 Se 0.500 0.000 0.500

Entry 9:
KThSe3: relaxed, PBE.

Properties
- SG = Pm-3m, No. 221
- formation energy without anion corrections (kJ/mol of formula units) = -621.2
- distance to the lowest polymorph of the same formula (meV/atom) = 78
- calculated volume (Å³/cell) = 186.87
- magnetization (μB per cell) = 0.000
- raw total energy (eV per atom) = -5.08

Cell lengths 5.717, 5.717, 5.717 Å; angles 90.00, 90.00, 90.00 degrees
Fractional coordinates of all 5 atoms:
1 K 0.500 0.500 0.500
2 Se 0.000 0.500 0.000
3 Se 0.000 0.000 0.500
4 Se 0.500 0.000 0.000
5 Th 0.000 0.000 0.000

Entry 10:
KTh4Se8: relaxed, PBE.

Properties
- SG = C2/m, No. 12
- formation energy without anion corrections (kJ/mol of formula units) = -2060.7
- calculated volume (Å³/cell) = 524.42
- magnetization (μB per cell) = 0.019
- raw total energy (eV per atom) = -6.15

Cell lengths 8.584, 8.584, 9.269 Å; angles 102.85, 103.99, 119.91 degrees
Fractional coordinates of all 13 atoms:
1 K 0.000 0.500 0.500
2 Th 0.249 0.249 0.000
3 Th 0.751 0.751 0.000
4 Th 0.261 0.762 0.023
5 Th 0.739 0.238 0.977
6 Se 0.693 0.026 0.193
7 Se 0.167 0.499 0.193
8 Se 0.682 0.503 0.186
9 Se 0.180 0.019 0.198
10 Se 0.820 0.981 0.802
11 Se 0.318 0.497 0.814
12 Se 0.833 0.501 0.807
13 Se 0.307 0.974 0.807

Entry 11:
K2Th3Se6: relaxed, PBE.

Properties
- SG = C2/m, No. 12
- formation energy without anion corrections (kJ/mol of formula units) = -1690.6
- calculated volume (Å³/cell) = 370.72
- magnetization (μB per cell) = 0.001
- raw total energy (eV per atom) = -5.72

Cell lengths 7.329, 7.326, 8.338 Å; angles 81.60, 73.01, 59.99 degrees
Fractional coordinates of all 11 atoms:
1 K 0.167 0.666 0.500
2 K 0.833 0.334 0.500
3 Th 0.000 0.000 0.000
4 Th 0.334 0.331 0.000
5 Th 0.666 0.669 0.000
6 Se 0.404 0.666 0.789
7 Se 0.738 0.000 0.787
8 Se 0.070 0.334 0.789
9 Se 0.262 0.000 0.213
10 Se 0.596 0.334 0.211
11 Se 0.930 0.666 0.211

Entry 12:
K5ThSe4: relaxed, PBE.

Properties
- SG = C2/m, No. 12
- formation energy without anion corrections (kJ/mol of formula units) = -1191.8
- calculated volume (Å³/cell) = 401.88
- magnetization (μB per cell) = 0.000
- raw total energy (eV per atom) = -3.92

Cell lengths 4.547, 9.092, 10.124 Å; angles 99.53, 102.98, 90.00 degrees
Fractional coordinates of all 10 atoms:
1 K 0.840 0.682 0.680
2 K 0.823 0.150 0.645
3 K 0.177 0.850 0.355
4 K 0.500 0.500 0.000
5 K 0.160 0.318 0.320
6 Th 0.500 0.000 0.000
7 Se 0.352 0.926 0.705
8 Se 0.007 0.782 0.014
9 Se 0.648 0.074 0.295
10 Se 0.993 0.218 0.986